# 1
Material: Cs4TeBr2
Method: DFT, GGA-PBE
State: optimized geometry

abc: 7.2179 7.2179 10.9368
angles: 70.73 70.73 90.00
Element x y z (fractional)
Cs  0.8139  0.8139  0.3723
Cs  0.5000  0.0000  0.0000
Cs  0.0000  0.5000  0.0000
Cs  0.1861  0.1861  0.6277
Te  0.0000  0.0000  0.0000
Br  0.6346  0.6346  0.7309
Br  0.3654  0.3654  0.2691

Output
The value obtained for the uncorrected formation energy is -1256 meV/atom. The space-group type is I4/mmm.

---

# 2
Material: Ca2OsBr
Method: DFT, GGA-PBE
State: optimized geometry

abc: 8.5344 8.5344 8.5344
angles: 155.22 156.94 34.10
Element x y z (fractional)
Br  0.2981  0.7981  0.5000
Ca  0.9627  0.9627  0.0000
Ca  0.6838  0.1838  0.5000
Os  0.5555  0.5555  0.0000

Output
The value obtained for the uncorrected formation energy is -191 meV/atom. The space-group type is Imm2.

---

# 3
Material: Cs2Cu2O
Method: DFT, GGA-PBE
State: optimized geometry

abc: 3.5232 3.5232 10.5192
angles: 80.36 80.36 90.00
Element x y z (fractional)
Cs  0.4167  0.4167  0.1665
Cs  0.5833  0.5833  0.8335
Cu  0.7500  0.2500  0.5000
Cu  0.2500  0.7500  0.5000
O  0.0000  0.0000  0.0000

Output
The value obtained for the uncorrected formation energy is -146 meV/atom. The space-group type is I4/mmm.

---

# 4
Material: La2MnGe4Ir3
Method: DFT, GGA-PBE
State: optimized geometry

abc: 4.2915 4.2915 10.3762
angles: 90.00 90.00 90.00
Element x y z (fractional)
La  0.0000  0.5000  0.7558
La  0.5000  0.0000  0.2442
Ge  0.5000  0.0000  0.6325
Ge  0.0000  0.5000  0.3675
Ge  0.0000  0.0000  0.0000
Ge  0.5000  0.5000  0.0000
Mn  0.5000  0.5000  0.5000
Ir  0.0000  0.0000  0.5000
Ir  0.5000  0.0000  0.8744
Ir  0.0000  0.5000  0.1256

Output
As for the formation energy: -0.7036 eV/atom. The space-group type is P-4m2.

---

# 5
Material: ZnSnAs3
Method: DFT, GGA-PBE
State: optimized geometry

abc: 4.9027 4.9027 4.9027
angles: 90.00 90.00 90.00
Element x y z (fractional)
Zn  0.0000  0.0000  0.0000
As  0.0000  0.0000  0.5000
As  0.5000  0.0000  0.0000
As  0.0000  0.5000  0.0000
Sn  0.5000  0.5000  0.5000

Output
As for the formation energy: 0.5508 eV/atom. The space-group type is Pm-3m.

---

# 6
Material: Nd2Mg7
Method: DFT, GGA-PBE
State: optimized geometry

abc: 6.0567 6.0567 15.2989
angles: 78.58 78.58 60.00
Element x y z (fractional)
Nd  0.0518  0.0518  0.8446
Nd  0.8478  0.8478  0.4565
Nd  0.1522  0.1522  0.5435
Nd  0.9482  0.9482  0.1554
Mg  0.8917  0.3876  0.3331
Mg  0.2781  0.2781  0.1657
Mg  0.5000  0.0000  0.0000
Mg  0.3876  0.8917  0.3331
Mg  0.6124  0.6124  0.6669
Mg  0.5000  0.5000  0.0000
Mg  0.0000  0.5000  0.0000
Mg  0.3891  0.3891  0.8328
Mg  0.1083  0.6124  0.6669
Mg  0.7219  0.7219  0.8343
Mg  0.6109  0.6109  0.1672
Mg  0.3876  0.3876  0.3331
Mg  0.5000  0.5000  0.5000
Mg  0.6124  0.1083  0.6669

Output
As for the formation energy: -0.0547 eV/atom. The space-group type is R-3m.